Entry 1:
! Cs2MgBSe4, optimized geometry, DFT GGA-PBE; values from VASP
! M_tot, μB per formula unit: 0.88
! V, Å³/cell: 569
! DFT total energy, eV per atom: -3.7704
! ρ, g/cm³: 3.602
! Formation energy without anion corrections, eV per formula unit: -6.25
&SYSTEM
  ibrav = 0, nat = 16, ntyp = 4
/
ATOMIC_SPECIES
Cs 132.91 Cs.upf
Mg 24.30 Mg.upf
B 10.81 B.upf
Se 78.96 Se.upf
CELL_PARAMETERS angstrom
0.000 7.246 13.129
2.989 0.000 13.129
2.989 7.246 0.000
ATOMIC_POSITIONS crystal
Cs 0.050 0.050 0.700
Cs 0.300 0.300 0.950
Cs 0.700 0.700 0.050
Cs 0.950 0.950 0.300
Mg 0.125 0.125 0.125
Mg 0.875 0.875 0.875
B 0.375 0.375 0.375
B 0.625 0.625 0.625
Se 0.051 0.604 0.529
Se 0.316 0.529 0.604
Se 0.396 0.949 0.684
Se 0.471 0.684 0.949
Se 0.529 0.316 0.051
Se 0.604 0.051 0.316
Se 0.684 0.471 0.396
Se 0.949 0.396 0.471

Entry 2:
! ScCu2, optimized geometry, DFT GGA-PBE; values from VASP
! M_tot, μB per formula unit: 0.00
! V, Å³/cell: 49
! DFT total energy, eV per atom: -4.7101
! ρ, g/cm³: 5.832
&SYSTEM
  ibrav = 0, nat = 3, ntyp = 2
/
ATOMIC_SPECIES
Sc 44.96 Sc.upf
Cu 63.55 Cu.upf
CELL_PARAMETERS angstrom
3.047 0.000 0.000
-1.523 2.639 0.000
0.000 0.000 6.093
ATOMIC_POSITIONS crystal
Sc 0.000 0.000 0.000
Cu 0.333 0.667 0.650
Cu 0.667 0.333 0.350

Entry 3:
! NdPdO3, optimized geometry, DFT GGA-PBE; values from VASP
! M_tot, μB per formula unit: 0.86
! V, Å³/cell: 291
! DFT total energy, eV per atom: -6.8151
! ρ, g/cm³: 6.813
! Formation energy without anion corrections, eV per formula unit: -9.24
&SYSTEM
  ibrav = 0, nat = 20, ntyp = 3
/
ATOMIC_SPECIES
Nd 144.24 Nd.upf
Pd 106.42 Pd.upf
O 16.00 O.upf
CELL_PARAMETERS angstrom
3.984 0.000 0.000
0.000 12.910 0.000
0.000 0.000 5.661
ATOMIC_POSITIONS crystal
Nd 0.236 0.080 0.250
Nd 0.236 0.420 0.750
Nd 0.764 0.580 0.250
Nd 0.764 0.920 0.750
Pd 0.441 0.670 0.750
Pd 0.441 0.830 0.250
Pd 0.559 0.170 0.750
Pd 0.559 0.330 0.250
O 0.251 0.577 0.505
O 0.251 0.577 0.995
O 0.251 0.923 0.005
O 0.251 0.923 0.495
O 0.331 0.250 0.000
O 0.331 0.250 0.500
O 0.669 0.750 0.000
O 0.669 0.750 0.500
O 0.749 0.077 0.505
O 0.749 0.077 0.995
O 0.749 0.423 0.005
O 0.749 0.423 0.495

Entry 4:
! RePb2Cl, optimized geometry, DFT GGA-PBE; values from VASP
! Energy relative to the lowest polymorph listed for this composition, eV/atom: 0.420
! M_tot, μB per formula unit: 2.90
! V, Å³/cell: 97
! DFT total energy, eV per atom: -4.5621
! ρ, g/cm³: 10.899
! Formation energy without anion corrections, eV per formula unit: 3.46
&SYSTEM
  ibrav = 0, nat = 4, ntyp = 3
/
ATOMIC_SPECIES
Re 186.21 Re.upf
Pb 207.20 Pb.upf
Cl 35.45 Cl.upf
CELL_PARAMETERS angstrom
0.000 3.646 3.646
3.646 0.000 3.646
3.646 3.646 0.000
ATOMIC_POSITIONS crystal
Re 0.000 0.000 0.000
Pb 0.250 0.250 0.250
Pb 0.750 0.750 0.750
Cl 0.500 0.500 0.500

Entry 5:
! CsTlAu2I5, optimized geometry, DFT GGA-PBE; values from VASP
! M_tot, μB per formula unit: 0.00
! V, Å³/cell: 367
! DFT total energy, eV per atom: -2.4392
! ρ, g/cm³: 6.187
! Formation energy without anion corrections, eV per formula unit: -4.43
&SYSTEM
  ibrav = 0, nat = 9, ntyp = 4
/
ATOMIC_SPECIES
Cs 132.91 Cs.upf
Tl 204.38 Tl.upf
Au 196.97 Au.upf
I 126.90 I.upf
CELL_PARAMETERS angstrom
5.663 0.000 0.000
0.000 5.663 0.000
0.000 0.000 11.429
ATOMIC_POSITIONS crystal
Cs 0.000 0.000 0.000
Tl 0.000 0.000 0.500
Au 0.500 0.500 0.266
Au 0.500 0.500 0.734
I 0.000 0.500 0.298
I 0.000 0.500 0.702
I 0.500 0.000 0.298
I 0.500 0.000 0.702
I 0.500 0.500 0.000

Entry 6:
! AcSm14Tm, optimized geometry, DFT GGA-PBE; values from VASP
! M_tot, μB per formula unit: 0.00
! V, Å³/cell: 552
! DFT total energy, eV per atom: -4.6299
! ρ, g/cm³: 7.520
&SYSTEM
  ibrav = 0, nat = 16, ntyp = 3
/
ATOMIC_SPECIES
Ac 227.00 Ac.upf
Sm 150.36 Sm.upf
Tm 168.93 Tm.upf
CELL_PARAMETERS angstrom
11.736 0.000 0.000
0.000 3.682 6.390
0.000 -3.682 6.390
ATOMIC_POSITIONS crystal
Ac 0.000 0.000 0.000
Sm 0.000 0.504 0.999
Sm 0.000 0.999 0.504
Sm 0.248 0.335 0.335
Sm 0.252 0.337 0.834
Sm 0.252 0.834 0.337
Sm 0.254 0.834 0.834
Sm 0.500 0.002 0.002
Sm 0.500 0.002 0.501
Sm 0.500 0.501 0.002
Sm 0.500 0.501 0.501
Sm 0.746 0.834 0.834
Sm 0.748 0.337 0.834
Sm 0.748 0.834 0.337
Sm 0.752 0.335 0.335
Tm 0.000 0.503 0.503

Entry 7:
! RbNaSi2Pd, optimized geometry, DFT GGA-PBE; values from VASP
! M_tot, μB per formula unit: 0.00
! V, Å³/cell: 139
! DFT total energy, eV per atom: -2.6608
! ρ, g/cm³: 3.248
! Formation energy without anion corrections, eV per formula unit: 5.02
&SYSTEM
  ibrav = 0, nat = 5, ntyp = 4
/
ATOMIC_SPECIES
Rb 85.47 Rb.upf
Na 22.99 Na.upf
Si 28.09 Si.upf
Pd 106.42 Pd.upf
CELL_PARAMETERS angstrom
5.193 0.000 0.000
0.000 5.193 0.000
0.000 0.000 5.138
ATOMIC_POSITIONS crystal
Rb 0.000 0.000 0.000
Na 0.500 0.500 0.500
Si 0.000 0.500 0.500
Si 0.500 0.000 0.500
Pd 0.500 0.500 0.000

Entry 8:
! La6Sn2TeI3, optimized geometry, DFT GGA-PBE; values from VASP
! M_tot, μB per formula unit: 0.00
! V, Å³/cell: 423
! DFT total energy, eV per atom: -4.8729
! ρ, g/cm³: 6.195
! Formation energy without anion corrections, eV per formula unit: -13.11
&SYSTEM
  ibrav = 0, nat = 12, ntyp = 4
/
ATOMIC_SPECIES
La 138.91 La.upf
Sn 118.71 Sn.upf
Te 127.60 Te.upf
I 126.90 I.upf
CELL_PARAMETERS angstrom
4.035 -7.003 0.000
4.035 7.003 0.000
-2.694 0.000 7.490
ATOMIC_POSITIONS crystal
La 0.087 0.424 0.772
La 0.238 0.238 0.227
La 0.424 0.087 0.772
La 0.576 0.913 0.228
La 0.762 0.762 0.773
La 0.913 0.576 0.228
Sn 0.167 0.833 0.000
Sn 0.833 0.167 0.000
Te 0.500 0.500 0.000
I 0.000 0.000 0.500
I 0.334 0.666 0.500
I 0.666 0.334 0.500

Entry 9:
! Al3Re, optimized geometry, DFT GGA-PBE; values from VASP
! M_tot, μB per formula unit: 0.00
! V, Å³/cell: 60
! DFT total energy, eV per atom: -5.9615
! ρ, g/cm³: 7.398
&SYSTEM
  ibrav = 0, nat = 4, ntyp = 2
/
ATOMIC_SPECIES
Al 26.98 Al.upf
Re 186.21 Re.upf
CELL_PARAMETERS angstrom
2.723 -3.977 0.000
2.723 3.977 0.000
0.000 0.000 2.769
ATOMIC_POSITIONS crystal
Al 0.000 0.000 0.000
Al 0.000 0.500 0.500
Al 0.500 0.000 0.500
Re 0.500 0.500 0.000

Entry 10:
! PBr2O, optimized geometry, DFT GGA-PBE; values from VASP
! Energy relative to the lowest polymorph listed for this composition, eV/atom: 0.333
! M_tot, μB per formula unit: 0.00
! V, Å³/cell: 67
! DFT total energy, eV per atom: -2.4517
! ρ, g/cm³: 5.107
! Formation energy without anion corrections, eV per formula unit: 3.91
&SYSTEM
  ibrav = 0, nat = 4, ntyp = 3
/
ATOMIC_SPECIES
P 30.97 P.upf
Br 79.90 Br.upf
O 16.00 O.upf
CELL_PARAMETERS angstrom
0.000 3.227 3.227
3.227 0.000 3.227
3.227 3.227 0.000
ATOMIC_POSITIONS crystal
P 0.000 0.000 0.000
Br 0.250 0.250 0.250
Br 0.750 0.750 0.750
O 0.500 0.500 0.500

Entry 11:
! LiCd2HRh, optimized geometry, DFT GGA-PBE; values from VASP
! M_tot, μB per formula unit: 0.00
! V, Å³/cell: 74
! DFT total energy, eV per atom: -3.0191
! ρ, g/cm³: 7.557
&SYSTEM
  ibrav = 0, nat = 5, ntyp = 4
/
ATOMIC_SPECIES
Li 6.94 Li.upf
Cd 112.41 Cd.upf
H 1.01 H.upf
Rh 102.91 Rh.upf
CELL_PARAMETERS angstrom
4.644 0.000 0.000
0.000 4.644 0.000
0.000 0.000 3.420
ATOMIC_POSITIONS crystal
Li 0.000 0.000 0.000
Cd 0.000 0.500 0.500
Cd 0.500 0.000 0.500
H 0.500 0.500 0.500
Rh 0.500 0.500 0.000

Entry 12:
! AlNiTe2, optimized geometry, DFT GGA-PBE; values from VASP
! M_tot, μB per formula unit: 0.00
! V, Å³/cell: 93
! DFT total energy, eV per atom: -3.7781
! ρ, g/cm³: 6.064
! Formation energy without anion corrections, eV per formula unit: 0.69
&SYSTEM
  ibrav = 0, nat = 4, ntyp = 3
/
ATOMIC_SPECIES
Al 26.98 Al.upf
Ni 58.69 Ni.upf
Te 127.60 Te.upf
CELL_PARAMETERS angstrom
-1.910 3.145 3.885
1.910 -3.145 3.885
1.910 3.145 -3.885
ATOMIC_POSITIONS crystal
Al 0.000 0.000 0.000
Ni 0.500 0.500 0.000
Te 0.286 0.786 0.500
Te 0.714 0.214 0.500

Entry 13:
! Ba2LaCu3O7, optimized geometry, DFT GGA-PBE; values from VASP
! Energy relative to the lowest polymorph listed for this composition, eV/atom: 0.051
! M_tot, μB per formula unit: 0.47
! V, Å³/cell: 185
! DFT total energy, eV per atom: -6.0295
! ρ, g/cm³: 6.426
! Formation energy without anion corrections, eV per formula unit: -22.61
&SYSTEM
  ibrav = 0, nat = 13, ntyp = 4
/
ATOMIC_SPECIES
Ba 137.33 Ba.upf
La 138.91 La.upf
Cu 63.55 Cu.upf
O 16.00 O.upf
CELL_PARAMETERS angstrom
3.990 0.000 0.000
0.000 3.990 0.000
0.000 0.000 11.625
ATOMIC_POSITIONS crystal
Ba 0.000 0.000 0.000
Ba 0.000 0.000 0.338
La 0.000 0.000 0.664
Cu 0.500 0.500 0.161
Cu 0.500 0.500 0.519
Cu 0.500 0.500 0.821
O 0.000 0.500 0.185
O 0.000 0.500 0.522
O 0.000 0.500 0.791
O 0.500 0.000 0.185
O 0.500 0.000 0.522
O 0.500 0.000 0.791
O 0.500 0.500 0.990

Entry 14:
! YBeRe2, optimized geometry, DFT GGA-PBE; values from VASP
! M_tot, μB per formula unit: 0.00
! V, Å³/cell: 66
! DFT total energy, eV per atom: -8.7573
! ρ, g/cm³: 11.783
&SYSTEM
  ibrav = 0, nat = 4, ntyp = 3
/
ATOMIC_SPECIES
Y 88.91 Y.upf
Be 9.01 Be.upf
Re 186.21 Re.upf
CELL_PARAMETERS angstrom
3.108 0.000 0.000
0.000 3.108 0.000
0.000 0.000 6.863
ATOMIC_POSITIONS crystal
Y 0.000 0.000 0.000
Be 0.500 0.500 0.311
Re 0.000 0.000 0.475
Re 0.500 0.500 0.687

Entry 15:
! NbZnSb2Rh, optimized geometry, DFT GGA-PBE; values from VASP
! M_tot, μB per formula unit: 0.00
! V, Å³/cell: 113
! DFT total energy, eV per atom: -4.4793
! ρ, g/cm³: 7.439
! Formation energy without anion corrections, eV per formula unit: 4.54
&SYSTEM
  ibrav = 0, nat = 5, ntyp = 4
/
ATOMIC_SPECIES
Nb 92.91 Nb.upf
Zn 65.41 Zn.upf
Sb 121.76 Sb.upf
Rh 102.91 Rh.upf
CELL_PARAMETERS angstrom
5.029 0.000 0.000
0.000 5.029 0.000
0.000 0.000 4.455
ATOMIC_POSITIONS crystal
Nb 0.000 0.000 0.000
Zn 0.500 0.500 0.500
Sb 0.000 0.500 0.500
Sb 0.500 0.000 0.500
Rh 0.500 0.500 0.000

Entry 16:
! Na3Hg3Bi, optimized geometry, DFT GGA-PBE; values from VASP
! Energy relative to the lowest polymorph listed for this composition, eV/atom: 0.000
! M_tot, μB per formula unit: 0.00
! V, Å³/cell: 383
! DFT total energy, eV per atom: -1.5132
! ρ, g/cm³: 7.634
&SYSTEM
  ibrav = 0, nat = 14, ntyp = 3
/
ATOMIC_SPECIES
Na 22.99 Na.upf
Hg 200.59 Hg.upf
Bi 208.98 Bi.upf
CELL_PARAMETERS angstrom
9.005 0.000 0.000
-4.502 7.798 0.000
0.000 0.000 5.450
ATOMIC_POSITIONS crystal
Na 0.090 0.630 0.250
Na 0.370 0.460 0.250
Na 0.460 0.090 0.750
Na 0.540 0.910 0.250
Na 0.630 0.540 0.750
Na 0.910 0.370 0.750
Hg 0.033 0.800 0.750
Hg 0.200 0.233 0.750
Hg 0.233 0.033 0.250
Hg 0.767 0.967 0.750
Hg 0.800 0.767 0.250
Hg 0.967 0.200 0.250
Bi 0.333 0.667 0.750
Bi 0.667 0.333 0.250

Entry 17:
! NiPtBr2, optimized geometry, DFT GGA-PBE; values from VASP
! Energy relative to the lowest polymorph listed for this composition, eV/atom: 0.493
! M_tot, μB per formula unit: 0.59
! V, Å³/cell: 75
! DFT total energy, eV per atom: -3.3585
! ρ, g/cm³: 9.216
! Formation energy without anion corrections, eV per formula unit: 1.73
&SYSTEM
  ibrav = 0, nat = 4, ntyp = 3
/
ATOMIC_SPECIES
Ni 58.69 Ni.upf
Pt 195.08 Pt.upf
Br 79.90 Br.upf
CELL_PARAMETERS angstrom
1.738 1.004 7.117
-1.738 1.004 7.117
0.000 -2.007 7.117
ATOMIC_POSITIONS crystal
Ni 0.000 0.000 0.000
Pt 0.500 0.500 0.500
Br 0.261 0.261 0.261
Br 0.739 0.739 0.739

Entry 18:
! NdCdSb, optimized geometry, DFT GGA-PBE; values from VASP
! Energy relative to the lowest polymorph listed for this composition, eV/atom: 0.072
! M_tot, μB per formula unit: 0.00
! V, Å³/cell: 85
! DFT total energy, eV per atom: -3.8412
! ρ, g/cm³: 7.389
! Formation energy without anion corrections, eV per formula unit: -1.72
&SYSTEM
  ibrav = 0, nat = 3, ntyp = 3
/
ATOMIC_SPECIES
Nd 144.24 Nd.upf
Cd 112.41 Cd.upf
Sb 121.76 Sb.upf
CELL_PARAMETERS angstrom
4.723 0.000 0.000
-2.362 4.090 0.000
0.000 0.000 4.402
ATOMIC_POSITIONS crystal
Nd 0.000 0.000 0.000
Cd 0.333 0.667 0.353
Sb 0.667 0.333 0.577

Entry 19:
! ThTlHg, optimized geometry, DFT GGA-PBE; values from VASP
! Energy relative to the lowest polymorph listed for this composition, eV/atom: 0.033
! M_tot, μB per formula unit: 0.00
! V, Å³/cell: 82
! DFT total energy, eV per atom: -3.5168
! ρ, g/cm³: 12.843
&SYSTEM
  ibrav = 0, nat = 3, ntyp = 3
/
ATOMIC_SPECIES
Th 232.04 Th.upf
Tl 204.38 Tl.upf
Hg 200.59 Hg.upf
CELL_PARAMETERS angstrom
5.037 0.000 0.000
-2.518 4.362 0.000
0.000 0.000 3.749
ATOMIC_POSITIONS crystal
Th 0.000 0.000 0.000
Tl 0.333 0.667 0.419
Hg 0.667 0.333 0.627

Entry 20:
! HfScOF2, optimized geometry, DFT GGA-PBE; values from VASP
! Energy relative to the lowest polymorph listed for this composition, eV/atom: 0.194
! M_tot, μB per formula unit: 2.52
! V, Å³/cell: 72
! DFT total energy, eV per atom: -6.9508
! ρ, g/cm³: 6.379
! Formation energy without anion corrections, eV per formula unit: -9.77
&SYSTEM
  ibrav = 0, nat = 5, ntyp = 4
/
ATOMIC_SPECIES
Hf 178.49 Hf.upf
Sc 44.96 Sc.upf
O 16.00 O.upf
F 19.00 F.upf
CELL_PARAMETERS angstrom
4.168 0.000 0.000
0.000 4.168 0.000
0.000 0.000 4.156
ATOMIC_POSITIONS crystal
Hf 0.000 0.000 0.000
Sc 0.500 0.500 0.500
O 0.500 0.500 0.000
F 0.000 0.500 0.500
F 0.500 0.000 0.500

Entry 21:
! NaMn2Pd2, optimized geometry, DFT GGA-PBE; values from VASP
! Energy relative to the lowest polymorph listed for this composition, eV/atom: 0.000
! M_tot, μB per formula unit: 1.66
! V, Å³/cell: 154
! DFT total energy, eV per atom: -5.7696
! ρ, g/cm³: 7.461
&SYSTEM
  ibrav = 0, nat = 10, ntyp = 3
/
ATOMIC_SPECIES
Na 22.99 Na.upf
Mn 54.94 Mn.upf
Pd 106.42 Pd.upf
CELL_PARAMETERS angstrom
7.586 0.000 0.000
0.000 7.586 0.000
0.000 0.000 2.674
ATOMIC_POSITIONS crystal
Na 0.000 0.000 0.000
Na 0.500 0.500 0.000
Mn 0.090 0.410 0.000
Mn 0.410 0.910 0.000
Mn 0.590 0.090 0.000
Mn 0.910 0.590 0.000
Pd 0.199 0.699 0.500
Pd 0.301 0.199 0.500
Pd 0.699 0.801 0.500
Pd 0.801 0.301 0.500

Entry 22:
! Zn4SbCl, optimized geometry, DFT GGA-PBE; values from VASP
! M_tot, μB per formula unit: 0.00
! V, Å³/cell: 115
! DFT total energy, eV per atom: -1.7978
! ρ, g/cm³: 6.039
! Formation energy without anion corrections, eV per formula unit: 0.28
&SYSTEM
  ibrav = 0, nat = 6, ntyp = 3
/
ATOMIC_SPECIES
Zn 65.41 Zn.upf
Sb 121.76 Sb.upf
Cl 35.45 Cl.upf
CELL_PARAMETERS angstrom
0.000 3.862 3.862
3.862 0.000 3.862
3.862 3.862 0.000
ATOMIC_POSITIONS crystal
Zn 0.125 0.125 0.125
Zn 0.125 0.125 0.626
Zn 0.125 0.626 0.125
Zn 0.626 0.125 0.125
Sb 0.500 0.500 0.500
Cl 0.750 0.750 0.750

Entry 23:
! Tm6Cd3Ru, optimized geometry, DFT GGA-PBE; values from VASP
! Energy relative to the lowest polymorph listed for this composition, eV/atom: 0.000
! M_tot, μB per formula unit: 0.00
! V, Å³/cell: 500
! DFT total energy, eV per atom: -4.1740
! ρ, g/cm³: 9.640
&SYSTEM
  ibrav = 0, nat = 20, ntyp = 3
/
ATOMIC_SPECIES
Tm 168.93 Tm.upf
Cd 112.41 Cd.upf
Ru 101.07 Ru.upf
CELL_PARAMETERS angstrom
9.019 0.000 0.000
0.000 5.210 0.000
-3.542 0.000 10.645
ATOMIC_POSITIONS crystal
Tm 0.034 0.250 0.414
Tm 0.194 0.750 0.167
Tm 0.282 0.250 0.004
Tm 0.348 0.750 0.833
Tm 0.379 0.250 0.345
Tm 0.389 0.250 0.650
Tm 0.611 0.750 0.350
Tm 0.621 0.750 0.655
Tm 0.652 0.250 0.167
Tm 0.718 0.750 0.996
Tm 0.806 0.250 0.833
Tm 0.966 0.750 0.586
Cd 0.008 0.750 0.872
Cd 0.084 0.250 0.721
Cd 0.271 0.750 0.475
Cd 0.729 0.250 0.525
Cd 0.916 0.750 0.279
Cd 0.992 0.250 0.128
Ru 0.463 0.750 0.094
Ru 0.537 0.250 0.906

Entry 24:
! TbSc2Ga3, optimized geometry, DFT GGA-PBE; values from VASP
! M_tot, μB per formula unit: 0.00
! V, Å³/cell: 122
! DFT total energy, eV per atom: -4.9836
! ρ, g/cm³: 6.252
&SYSTEM
  ibrav = 0, nat = 6, ntyp = 3
/
ATOMIC_SPECIES
Tb 158.93 Tb.upf
Sc 44.96 Sc.upf
Ga 69.72 Ga.upf
CELL_PARAMETERS angstrom
3.428 0.000 0.000
0.000 3.428 0.000
0.000 0.000 10.353
ATOMIC_POSITIONS crystal
Tb 0.000 0.000 0.000
Sc 0.000 0.000 0.342
Sc 0.000 0.000 0.658
Ga 0.500 0.500 0.186
Ga 0.500 0.500 0.500
Ga 0.500 0.500 0.814